Here is a geometry-optimized Cu2Si2As3P structure from OQMD via LeMat-Bulk. Energies are from GGA-PBE.

Geometry as POSCAR:
```
Cu2Si2As3P
1.0
5.950 -2.761 0.000
5.950 2.761 0.000
-2.433 0.000 4.893
Cu Si As P
2 2 3 1
Direct
0.118 0.118 0.357 Cu
0.882 0.882 0.643 Cu
0.358 0.397 0.120 Si
0.603 0.642 0.880 Si
0.484 0.016 0.743 As
0.739 0.261 0.500 As
0.984 0.516 0.257 As
0.240 0.760 0.000 P
```

Properties
Calculated volume   20.10 A^3/atom
Uncorrected energy   -37.94 eV/f.u.

Here is a geometry-optimized Cu2Sn2As3P structure from OQMD via LeMat-Bulk. Energies are from GGA-PBE.

Geometry as POSCAR:
```
Cu2Sn2As3P
1.0
6.398 -2.874 0.000
6.398 2.874 0.000
-2.513 0.000 5.154
Cu Sn As P
2 2 3 1
Direct
0.119 0.119 0.356 Cu
0.881 0.881 0.644 Cu
0.394 0.360 0.122 Sn
0.640 0.606 0.878 Sn
0.014 0.486 0.703 As
0.220 0.780 0.500 As
0.514 0.986 0.297 As
0.800 0.200 0.000 P
```

Properties
Calculated volume   23.70 A^3/atom
Uncorrected energy   -34.89 eV/f.u.

Here is a geometry-optimized Cu2Sn2AsP3 structure from OQMD via LeMat-Bulk. Energies are from GGA-PBE.

Geometry as POSCAR:
```
Cu2Sn2AsP3
1.0
6.279 -2.801 0.000
6.279 2.801 0.000
-2.460 0.000 5.040
Cu Sn As P
2 2 1 3
Direct
0.131 0.131 0.368 Cu
0.869 0.869 0.632 Cu
0.355 0.391 0.118 Sn
0.609 0.645 0.882 Sn
0.787 0.213 0.500 As
0.193 0.807 0.000 P
0.487 0.014 0.710 P
0.986 0.513 0.290 P
```

Properties
Calculated volume   22.16 A^3/atom
Uncorrected energy   -36.38 eV/f.u.

Here is a geometry-optimized Sr2CuAsP structure from OQMD via LeMat-Bulk. Energies are from GGA-PBE.

Geometry as POSCAR:
```
Sr2CuAsP
1.0
2.120 -7.951 0.000
2.120 7.951 0.000
0.000 0.000 7.688
Sr Cu As P
4 2 2 2
Direct
0.034 0.966 0.500 Sr
0.216 0.784 0.160 Sr
0.784 0.216 0.660 Sr
0.966 0.034 0.000 Sr
0.401 0.599 0.357 Cu
0.599 0.401 0.857 Cu
0.435 0.565 0.703 As
0.565 0.435 0.203 As
0.157 0.843 0.792 P
0.843 0.157 0.292 P
```

Properties
Calculated volume   25.92 A^3/atom
Uncorrected energy   -21.16 eV/f.u.

Here is a geometry-optimized Cu2As2Pb structure from OQMD via LeMat-Bulk. Energies are from GGA-PBE.

Geometry as POSCAR:
```
Cu2As2Pb
1.0
-2.108 2.108 5.376
2.108 -2.108 5.376
2.108 2.108 -5.376
Cu As Pb
2 2 1
Direct
0.250 0.750 0.500 Cu
0.750 0.250 0.500 Cu
0.125 0.125 0.000 As
0.875 0.875 0.000 As
0.500 0.500 0.000 Pb
```

Properties
Calculated volume   19.11 A^3/atom
Uncorrected energy   -20.22 eV/f.u.

Here is a geometry-optimized Cu2AsPb structure from OQMD via LeMat-Bulk. Energies are from GGA-PBE.

Geometry as POSCAR:
```
Cu2AsPb
1.0
6.634 0.000 0.000
0.000 6.634 0.000
0.000 0.000 6.634
Cu As Pb
8 4 4
Direct
0.216 0.216 0.216 Cu
0.216 0.216 0.784 Cu
0.216 0.784 0.216 Cu
0.216 0.784 0.784 Cu
0.784 0.216 0.216 Cu
0.784 0.216 0.784 Cu
0.784 0.784 0.216 Cu
0.784 0.784 0.784 Cu
0.000 0.000 0.000 As
0.000 0.000 0.500 As
0.000 0.500 0.000 As
0.500 0.000 0.000 As
0.000 0.500 0.500 Pb
0.500 0.000 0.500 Pb
0.500 0.500 0.000 Pb
0.500 0.500 0.500 Pb
```

Properties
Calculated volume   18.24 A^3/atom
Uncorrected energy   -14.84 eV/f.u.